# 1
The following is a DFT calculation (PBE-GGA) of TbSb2Ir after structural relaxation.

* E_tot: -21.89 eV for the cell shown
* spin magnetization: 0.00 μB/cell
* raw formation energy: -38 meV/atom
* space group: No. 166

Unit cell a=3.6158 b=3.6158 c=9.8690 alpha=79.44 beta=79.44 gamma=60.00
Closest atoms and distances in Å follow each position.
Fractional coordinates of all 4 atoms:
Sb 0.1082 0.1082 0.6755  3 Ir 2.69
Sb 0.8918 0.8918 0.3245  3 Ir 2.69
Ir 0.5000 0.5000 0.5000  6 Sb 2.69
Tb 0.0000 0.0000 0.0000  2 Sb 3.13

---

# 2
The following is a DFT calculation (PBE-GGA) of Sm5TlSe4 after structural relaxation.

* E_tot: -55.22 eV for the cell shown
* spin magnetization: 0.00 μB/cell
* raw formation energy: -1532 meV/atom
* space group: No. 87

Unit cell a=5.9896 b=7.3516 c=7.3516 alpha=80.45 beta=65.96 gamma=65.96
Closest atoms and distances in Å follow each position.
Fractional coordinates of all 10 atoms:
Sm 0.9004 0.4074 0.7938  5 Se 2.96-3.00, 1 Tl 3.07
Sm 0.3077 0.7938 0.5926  5 Se 2.96-3.00, 1 Tl 3.07
Sm 0.6942 0.2062 0.4074  5 Se 2.96-3.00, 1 Tl 3.07
Sm 0.1016 0.5926 0.2062  5 Se 2.96-3.00, 1 Tl 3.07
Sm 0.5013 0.0000 0.0000  2 Tl 2.99, 4 Se 3.01
Tl 0.0013 0.0000 0.0000  6 Sm 2.99-3.07
Se 0.3989 0.4018 0.8024  6 Sm 2.96-3.01
Se 0.8006 0.8024 0.5982  6 Sm 2.96-3.01
Se 0.2013 0.1976 0.4018  6 Sm 2.96-3.01
Se 0.6031 0.5982 0.1976  6 Sm 2.96-3.01

---

# 3
The following is a DFT calculation (PBE-GGA) of CaBe3 after structural relaxation.

* E_tot: -11.33 eV for the cell shown
* spin magnetization: 0.00 μB/cell
* space group: No. 25
* relative energy among the computed polymorphs: 401 meV per atom

Unit cell a=2.7631 b=3.6799 c=5.8136 alpha=90.00 beta=90.00 gamma=90.00
Closest atoms and distances in Å follow each position.
Fractional coordinates of all 4 atoms:
Be 0.0000 0.0000 0.8980  6 Be 2.13-2.34
Be 0.5000 0.0000 0.6200  4 Be 2.13-2.18
Be 0.5000 0.5000 0.8218  6 Be 2.18-2.34
Ca 0.0000 0.5000 0.3268  2 Ca 2.76, 4 Be 2.86

---

# 4
The following is a DFT calculation (PBE-GGA) of DyPuSc6 after structural relaxation.

* E_tot: -56.36 eV for the cell shown
* spin magnetization: 6.13 μB/cell
* space group: No. 65
* relative energy among the computed polymorphs: 0 meV per atom

Unit cell a=4.5975 b=6.6377 c=6.6377 alpha=90.15 beta=90.00 gamma=90.00
Closest atoms and distances in Å follow each position.
Fractional coordinates of all 8 atoms:
Dy 0.5000 0.1251 0.8749  12 Sc 3.32-3.33
Pu 0.5000 0.6250 0.3750  12 Sc 3.24-3.32
Sc 0.5000 0.1250 0.3751  8 Sc 3.28-3.29, 2 Dy 3.32, 2 Pu 3.32
Sc 0.5000 0.6249 0.8750  8 Sc 3.28-3.29, 2 Dy 3.32, 2 Pu 3.32
Sc 0.0000 0.3809 0.1309  8 Sc 3.24-3.40, 2 Pu 3.24, 2 Dy 3.32
Sc 0.0000 0.8691 0.6191  8 Sc 3.24-3.40, 2 Pu 3.24, 2 Dy 3.32
Sc 0.0000 0.3806 0.6194  8 Sc 3.24-3.39, 2 Pu 3.25, 2 Dy 3.32
Sc 0.0000 0.8694 0.1306  8 Sc 3.24-3.40, 2 Pu 3.25, 2 Dy 3.33